[1]
# Ca2ErZn2Pd5, optimized geometry, DFT PBE
# Crystal system: tetragonal
# DFT total energy (eV/atom): -4.417
# Symmetry: P4/mbm, No. 127
# E_form (eV/atom): -0.71
data_Ca2ErZn2Pd5
_cell_length_a 3.7207
_cell_length_b 10.1452
_cell_length_c 10.1452
_cell_angle_alpha 90.00
_cell_angle_beta 90.00
_cell_angle_gamma 90.00
_space_group_name_H-M_alt 'P 1'
_space_group_IT_number 1
_space_group_name_Hall 'P 1'
loop_
_atom_site_label
_atom_site_type_symbol
_atom_site_fract_x
_atom_site_fract_y
_atom_site_fract_z
_atom_site_occupancy
Pd1 Pd 0.5000 0.9316 0.2096 1
Ca1 Ca 0.0000 0.8258 0.6742 1
Pd2 Pd 0.5000 0.7904 0.9316 1
Pd3 Pd 0.5000 0.2096 0.0684 1
Zn1 Zn 0.0000 0.6224 0.8776 1
Pd4 Pd 0.5000 0.5000 0.0000 1
Er1 Er 0.0000 0.5000 0.5000 1
Ca2 Ca 0.0000 0.6742 0.1742 1
Zn2 Zn 0.0000 0.3776 0.1224 1
Ca3 Ca 0.0000 0.1742 0.3258 1
Pd5 Pd 0.5000 0.7096 0.4316 1
Zn3 Zn 0.0000 0.8776 0.3776 1
Pd6 Pd 0.5000 0.0000 0.5000 1
Pd7 Pd 0.5000 0.4316 0.2904 1
Pd8 Pd 0.5000 0.2904 0.5684 1
Pd9 Pd 0.5000 0.5684 0.7096 1
Zn4 Zn 0.0000 0.1224 0.6224 1
Er2 Er 0.0000 0.0000 0.0000 1
Pd10 Pd 0.5000 0.0684 0.7904 1
Ca4 Ca 0.0000 0.3258 0.8258 1

***

[2]
# Sm2BeRu2, optimized geometry, DFT PBE
# Crystal system: monoclinic
# DFT total energy (eV/atom): -6.550
# Symmetry: C2/c, No. 15
# Energy relative to the lowest polymorph listed for this composition (eV per formula unit): 0.34
# E_form (eV/atom): -0.21
data_Sm2BeRu2
_cell_length_a 5.9774
_cell_length_b 5.9774
_cell_length_c 6.8876
_cell_angle_alpha 77.43
_cell_angle_beta 77.43
_cell_angle_gamma 54.69
_space_group_name_H-M_alt 'P 1'
_space_group_IT_number 1
_space_group_name_Hall 'P 1'
loop_
_atom_site_label
_atom_site_type_symbol
_atom_site_fract_x
_atom_site_fract_y
_atom_site_fract_z
_atom_site_occupancy
Sm1 Sm 0.4853 0.2232 0.1430 1
Ru1 Ru 0.0025 0.7449 0.0182 1
Sm2 Sm 0.5147 0.7768 0.8570 1
Sm3 Sm 0.7768 0.5147 0.3570 1
Be1 Be 0.0993 0.9007 0.2500 1
Ru2 Ru 0.2551 0.9975 0.4818 1
Ru3 Ru 0.9975 0.2551 0.9818 1
Be2 Be 0.9007 0.0993 0.7500 1
Sm4 Sm 0.2232 0.4853 0.6430 1
Ru4 Ru 0.7449 0.0025 0.5182 1

***

[3]
# PCl3F, optimized geometry, DFT PBE
# Formation energy (no corrections) (eV per atom): 0.8864
# Crystal system: cubic
# DFT total energy (eV/atom): -1.678
# Symmetry: Pm-3m, No. 221
# Energy relative to the lowest polymorph listed for this composition (eV per formula unit): 9.30
data_PCl3F
_cell_length_a 4.6250
_cell_length_b 4.6250
_cell_length_c 4.6250
_cell_angle_alpha 90.00
_cell_angle_beta 90.00
_cell_angle_gamma 90.00
_space_group_name_H-M_alt 'P 1'
_space_group_IT_number 1
_space_group_name_Hall 'P 1'
loop_
_atom_site_label
_atom_site_type_symbol
_atom_site_fract_x
_atom_site_fract_y
_atom_site_fract_z
_atom_site_occupancy
Cl1 Cl 0.5000 0.0000 0.0000 1
Cl2 Cl 0.0000 0.0000 0.5000 1
P1 P 0.5000 0.5000 0.5000 1
Cl3 Cl 0.0000 0.5000 0.0000 1
F1 F 0.0000 0.0000 0.0000 1

***

[4]
# Re2NiW, optimized geometry, DFT PBE
# Crystal system: monoclinic
# DFT total energy (eV/atom): -10.817
# Symmetry: Pm, No. 6
# Energy relative to the lowest polymorph listed for this composition (eV per formula unit): 0.32
# E_form (eV/atom): 0.09
data_Re2NiW
_cell_length_a 3.8723
_cell_length_b 2.7517
_cell_length_c 6.0801
_cell_angle_alpha 63.07
_cell_angle_beta 90.00
_cell_angle_gamma 90.00
_space_group_name_H-M_alt 'P 1'
_space_group_IT_number 1
_space_group_name_Hall 'P 1'
loop_
_atom_site_label
_atom_site_type_symbol
_atom_site_fract_x
_atom_site_fract_y
_atom_site_fract_z
_atom_site_occupancy
Re1 Re 0.0000 0.0016 0.0007 1
Ni1 Ni 0.5000 0.7503 0.7497 1
Re2 Re 0.5000 0.2612 0.2387 1
W1 W 0.0000 0.4870 0.5109 1

***

[5]
# Mg2ScHg, optimized geometry, DFT PBE
# Crystal system: tetragonal
# DFT total energy (eV/atom): -2.591
# Symmetry: P4/mmm, No. 123
# E_form (eV/atom): -0.13
data_Mg2ScHg
_cell_length_a 3.3062
_cell_length_b 3.3062
_cell_length_c 8.1950
_cell_angle_alpha 90.00
_cell_angle_beta 90.00
_cell_angle_gamma 90.00
_space_group_name_H-M_alt 'P 1'
_space_group_IT_number 1
_space_group_name_Hall 'P 1'
loop_
_atom_site_label
_atom_site_type_symbol
_atom_site_fract_x
_atom_site_fract_y
_atom_site_fract_z
_atom_site_occupancy
Mg1 Mg 0.0000 0.0000 0.9787 1
Hg1 Hg 0.5000 0.5000 0.7500 1
Sc1 Sc 0.5000 0.5000 0.2500 1
Mg2 Mg 0.0000 0.0000 0.5213 1

***

[6]
# SmHfSc3, optimized geometry, DFT PBE
# Crystal system: orthorhombic
# DFT total energy (eV/atom): -6.640
# Symmetry: Pmma, No. 51
# Energy relative to the lowest polymorph listed for this composition (eV per formula unit): 0.00
# E_form (eV/atom): 0.09
data_SmHfSc3
_cell_length_a 6.4881
_cell_length_b 5.1826
_cell_length_c 14.9572
_cell_angle_alpha 90.00
_cell_angle_beta 90.00
_cell_angle_gamma 90.00
_space_group_name_H-M_alt 'P 1'
_space_group_IT_number 1
_space_group_name_Hall 'P 1'
loop_
_atom_site_label
_atom_site_type_symbol
_atom_site_fract_x
_atom_site_fract_y
_atom_site_fract_z
_atom_site_occupancy
Sc1 Sc 0.0000 0.7500 0.4385 1
Sm1 Sm 0.7500 0.7498 0.6459 1
Sm2 Sm 0.7500 0.2498 0.3541 1
Sc2 Sc 0.5000 0.7500 0.4385 1
Sc3 Sc 0.7500 0.7497 0.2374 1
Hf1 Hf 0.0000 0.2500 0.1396 1
Sc4 Sc 0.7500 0.2503 0.9531 1
Hf2 Hf 0.5000 0.2500 0.1396 1
Sm3 Sm 0.2500 0.7502 0.6459 1
Hf3 Hf 0.5000 0.7500 0.8604 1
Sc5 Sc 0.7500 0.2497 0.7626 1
Sc6 Sc 0.2500 0.7503 0.2374 1
Sc7 Sc 0.2500 0.7497 0.0469 1
Sm4 Sm 0.2500 0.2502 0.3541 1
Hf4 Hf 0.0000 0.7500 0.8604 1
Sc8 Sc 0.2500 0.2503 0.7626 1
Sc9 Sc 0.5000 0.2500 0.5615 1
Sc10 Sc 0.7500 0.7503 0.0469 1
Sc11 Sc 0.0000 0.2500 0.5615 1
Sc12 Sc 0.2500 0.2497 0.9531 1

***

[7]
# Si2Sb2Se, optimized geometry, DFT PBE
# Formation energy (no corrections) (eV per atom): 0.2805
# Crystal system: tetragonal
# DFT total energy (eV/atom): -4.235
# Symmetry: I4/mmm, No. 139
# Energy relative to the lowest polymorph listed for this composition (eV per formula unit): 0.13
data_Si2Sb2Se
_cell_length_a 8.5635
_cell_length_b 8.5635
_cell_length_c 8.5635
_cell_angle_alpha 155.27
_cell_angle_beta 155.27
_cell_angle_gamma 35.26
_space_group_name_H-M_alt 'P 1'
_space_group_IT_number 1
_space_group_name_Hall 'P 1'
loop_
_atom_site_label
_atom_site_type_symbol
_atom_site_fract_x
_atom_site_fract_y
_atom_site_fract_z
_atom_site_occupancy
Sb1 Sb 0.3932 0.3932 0.0000 1
Sb2 Sb 0.6068 0.6068 0.0000 1
Se1 Se 0.0000 0.0000 0.0000 1
Si1 Si 0.2500 0.7500 0.5000 1
Si2 Si 0.7500 0.2500 0.5000 1

***

[8]
# LaFe2Pt, optimized geometry, DFT PBE
# Crystal system: monoclinic
# DFT total energy (eV/atom): -7.032
# Symmetry: Pm, No. 6
# E_form (eV/atom): -0.06
data_LaFe2Pt
_cell_length_a 3.1521
_cell_length_b 3.1555
_cell_length_c 7.7813
_cell_angle_alpha 65.89
_cell_angle_beta 90.00
_cell_angle_gamma 90.00
_space_group_name_H-M_alt 'P 1'
_space_group_IT_number 1
_space_group_name_Hall 'P 1'
loop_
_atom_site_label
_atom_site_type_symbol
_atom_site_fract_x
_atom_site_fract_y
_atom_site_fract_z
_atom_site_occupancy
Fe1 Fe 0.0000 0.9791 0.0200 1
Fe2 Fe 0.5000 0.3178 0.1818 1
La1 La 0.0000 0.5066 0.4941 1
Pt1 Pt 0.5000 0.6965 0.8040 1